Entry from the Alexandria database: a relaxed SrSb2As crystal (PBE).

It has space group Imm2 (No. 44), with a = 4.025 Å, b = 5.442 Å, c = 10.205 Å, α = 90.00°, β = 90.00° and γ = 90.00°. The asymmetric unit holds Sr at (0.000, 0.000, 0.000), Sb at (0.000, 0.000, 0.519), Sb at (0.000, 0.500, 0.780) and As at (0.000, 0.500, 0.223).

The total moment is 0.0 Bohr magnetons per cell. The calculation puts the theoretical density at 6.0 g/cm³. The raw formation energy comes out at -339 meV/atom.

=====

Entry from the Alexandria database: a relaxed SrTe5Pb2 crystal (PBE).

It has space group Cmcm (No. 63), with a = 4.502 Å, b = 12.950 Å, c = 19.573 Å, α = 90.00°, β = 90.00° and γ = 90.00°. The asymmetric unit holds Sr at (0.000, 0.067, 0.250), Te at (0.000, 0.148, 0.078), Te at (0.000, 0.241, 0.750), Te at (0.000, 0.486, 0.111) and Pb at (0.000, 0.183, 0.598).

The total moment is 0.0 Bohr magnetons per cell. The calculation puts the theoretical density at 6.6 g/cm³. The raw formation energy comes out at -441 meV/atom.

=====

Entry from the Alexandria database: a relaxed Li2MgGa2Hg2 crystal (PBE).

It has space group C2/m (No. 12), with a = 7.895 Å, b = 4.693 Å, c = 8.131 Å, α = 90.00°, β = 118.43° and γ = 90.00°. The asymmetric unit holds Li at (0.138, 0.000, 0.414), Mg at (0.000, 0.000, 0.000), Ga at (0.071, 0.500, 0.690) and Hg at (0.216, 0.500, 0.198).

The total moment is 0.0 Bohr magnetons per cell. The calculation puts the theoretical density at 7.3 g/cm³. As for the total energy: -1.94 eV per atom.

=====

Entry from the Alexandria database: a relaxed Cr2ReRh2 crystal (PBE).

It has space group P4/mbm (No. 127), with a = 7.184 Å, b = 7.184 Å, c = 2.651 Å, α = 90.00°, β = 90.00° and γ = 90.00°. The asymmetric unit holds Cr at (0.171, 0.329, 0.000), Re at (0.000, 0.000, 0.500) and Rh at (0.127, 0.627, 0.500).

For the energy above the most stable polymorph in this dataset, the calculation gives 0.190 eV/f.u. The total moment is 0.0 Bohr magnetons per cell. The calculation puts the theoretical density at 12.0 g/cm³.

=====

Entry from the Alexandria database: a relaxed NaCd2Cu2 crystal (PBE).

It has space group P4/mbm (No. 127), with a = 8.004 Å, b = 8.004 Å, c = 2.937 Å, α = 90.00°, β = 90.00° and γ = 90.00°. The asymmetric unit holds Na at (0.000, 0.000, 0.000), Cd at (0.135, 0.365, 0.000) and Cu at (0.163, 0.663, 0.500).

For the energy above the most stable polymorph in this dataset, the calculation gives 0.135 eV/f.u. The total moment is 0.0 Bohr magnetons per cell. The calculation puts the theoretical density at 6.6 g/cm³.

=====

Entry from the Alexandria database: a relaxed Mn10CdN8 crystal (PBE).

It has space group C2/m (No. 12), with a = 15.004 Å, b = 3.964 Å, c = 8.443 Å, α = 90.00°, β = 117.67° and γ = 90.00°. The asymmetric unit holds Mn at (0.043, 0.000, 0.202), Mn at (0.098, 0.500, 0.999), Mn at (0.182, 0.500, 0.396), Mn at (0.192, 0.000, 0.888), Mn at (0.223, 0.000, 0.216), Cd at (0.000, 0.500, 0.500), N at (0.047, 0.500, 0.183), N at (0.100, 0.000, 0.996), N at (0.181, 0.500, 0.870) and N at (0.183, 0.000, 0.398).

The total moment is 35.4 Bohr magnetons per cell. The calculation puts the theoretical density at 5.8 g/cm³. The raw formation energy comes out at -124 meV/atom.

=====

Entry from the Alexandria database: a relaxed InCu5Au7 crystal (PBE).

It has space group Imm2 (No. 44), with a = 5.358 Å, b = 8.890 Å, c = 9.096 Å, α = 90.00°, β = 90.00° and γ = 90.00°. The asymmetric unit holds In at (0.000, 0.000, 0.000), Cu at (0.000, 0.500, 0.278), Cu at (0.250, 0.244, 0.765), Au at (0.000, 0.000, 0.346), Au at (0.000, 0.000, 0.674), Au at (0.000, 0.301, 0.510), Au at (0.000, 0.334, 0.022) and Au at (0.000, 0.500, 0.750).

The total moment is 0.0 Bohr magnetons per cell. The calculation puts the theoretical density at 13.9 g/cm³. As for the total energy: -3.57 eV per atom.

=====

Entry from the Alexandria database: a relaxed Hg2AsAu crystal (PBE).

It has space group I-4m2 (No. 119), with a = 4.386 Å, b = 4.386 Å, c = 8.782 Å, α = 90.00°, β = 90.00° and γ = 90.00°. The asymmetric unit holds Hg at (0.000, 0.000, 0.000), Hg at (0.000, 0.500, 0.250), As at (0.000, 0.500, 0.750) and Au at (0.000, 0.000, 0.500).

For the energy above the most stable polymorph in this dataset, the calculation gives 0.596 eV/f.u. The total moment is 0.0 Bohr magnetons per cell. The calculation puts the theoretical density at 13.2 g/cm³.

=====

Entry from the Alexandria database: a relaxed TbYSc2 crystal (PBE).

It has space group P4/mmm (No. 123), with a = 4.908 Å, b = 4.908 Å, c = 4.672 Å, α = 90.00°, β = 90.00° and γ = 90.00°. The asymmetric unit holds Tb at (0.000, 0.000, 0.000), Y at (0.500, 0.500, 0.000) and Sc at (0.000, 0.500, 0.500).

For the energy above the most stable polymorph in this dataset, the calculation gives 0.081 eV/f.u. The total moment is 0.0 Bohr magnetons per cell. The calculation puts the theoretical density at 5.0 g/cm³.

=====

Entry from the Alexandria database: a relaxed Er2TmIr3 crystal (PBE).

It has space group P-3m1 (No. 164), with a = 4.8001 Å, b = 4.8001 Å, c = 5.8772 Å, α = 90.00°, β = 90.00° and γ = 120.00°. The asymmetric unit holds Er at (0.3333, 0.6667, 0.1671), Tm at (0.0000, 0.0000, 0.5000), Ir at (0.0000, 0.0000, 0.0000) and Ir at (0.3333, 0.6667, 0.6659).

For the energy above the most stable polymorph in this dataset, the calculation gives 0.000 eV/f.u. The total moment is 0.0 Bohr magnetons per cell. The calculation puts the theoretical density at 15.3 g/cm³.

=====

Entry from the Alexandria database: a relaxed Ru3Se crystal (PBE).

It has space group Immm (No. 71), with a = 2.946 Å, b = 4.391 Å, c = 8.953 Å, α = 90.00°, β = 90.00° and γ = 90.00°. The asymmetric unit holds Ru at (0.000, 0.000, 0.000), Ru at (0.000, 0.500, 0.223) and Se at (0.000, 0.000, 0.500).

The total moment is 0.0 Bohr magnetons per cell. The calculation puts the theoretical density at 11.0 g/cm³. The raw formation energy comes out at 320 meV/atom.

=====

Entry from the Alexandria database: a relaxed UBi3 crystal (PBE).

It has space group I4/mmm (No. 139), with a = 4.625 Å, b = 4.625 Å, c = 11.059 Å, α = 90.00°, β = 90.00° and γ = 90.00°. The asymmetric unit holds U at (0.000, 0.000, 0.000), Bi at (0.000, 0.000, 0.500) and Bi at (0.000, 0.500, 0.250).

The total moment is 5.1 Bohr magnetons per cell. The calculation puts the theoretical density at 12.1 g/cm³. As for the total energy: -5.69 eV per atom.